LiMn2BO | PBE with a Hubbard U | optimized geometry

Summary:
- Volume: 70.8 Å³/cell
- E: -4.572 eV/atom
- Total moment: 8.07 μB per cell
- Crystal system: tetragonal

Cell and atoms, written as extended XYZ:
```
5
Lattice="4.496 0.000 0.000 0.000 4.496 0.000 0.000 0.000 3.502" Properties=species:S:1:pos:R:3 pbc="T T T"
Li 0.000 0.000 0.000
Mn 0.000 2.248 0.000
Mn 2.248 0.000 0.000
B 0.000 0.000 1.751
O 2.248 2.248 1.751
```